# NiRhSe2 | the Alexandria database | PBE | optimized geometry
# Fermi-level density of states = 0.950 states/eV per atom
# crystal system = tetragonal
# formation energy from raw total energies = -158 meV/atom
# space-group type = No. 122
data_NiRhSe2
_chemical_formula_sum 'Ni2 Rh2 Se4'
_symmetry_space_group_name_H-M 'P 1'
_symmetry_Int_Tables_number 1
_cell_length_a 5.467
_cell_length_b 5.467
_cell_length_c 6.661
_cell_angle_alpha 65.77
_cell_angle_beta 65.77
_cell_angle_gamma 90.00
loop_
_symmetry_equiv_pos_as_xyz
'x,y,z'
loop_
_atom_site_label
_atom_site_type_symbol
_atom_site_fract_x
_atom_site_fract_y
_atom_site_fract_z
Rh1 Rh 0.000 0.000 0.000
Se1 Se 0.375 0.390 0.750
Ni1 Ni 0.250 0.750 0.500
Ni2 Ni 0.500 0.500 0.000
Se2 Se 0.140 0.625 0.250
Se3 Se 0.875 0.860 0.750
Rh2 Rh 0.750 0.250 0.500
Se4 Se 0.610 0.125 0.250